# 1
{"formula": "LiLaThZn", "functional": "PBE", "state": "relaxed", "cell": [[-2.410, -3.657, -2.928], [2.159, -1.585, -4.536], [2.054, -4.835, -0.391]], "species": ["Th", "Li", "Zn", "La"], "fractional_positions": [[0.750, 0.750, 0.750], [0.500, 0.500, 0.500], [0.000, 0.000, 0.000], [0.250, 0.250, 0.250]], "volume_a3_per_cell": 103.38, "total_energy_ev_per_fu": -15.59, "dos_at_fermi_per_ev_atom": 0.8266, "magnetic_moment_mub_per_cell": 0.0, "sg": "No. 216"}


# 2
{"formula": "Pm8CoRh3I4", "functional": "PBE", "state": "relaxed", "cell": [[8.250, 0.000, 0.000], [0.000, 9.362, 0.773], [-4.125, -4.118, 5.838]], "species": ["I", "I", "I", "I", "Pm", "Pm", "Pm", "Pm", "Pm", "Pm", "Pm", "Pm", "Co", "Rh", "Rh", "Rh"], "fractional_positions": [[0.000, 0.000, 0.000], [0.500, 0.000, 0.500], [0.500, 0.000, 0.000], [0.000, 0.000, 0.500], [0.777, 0.317, 0.039], [0.262, 0.317, 0.039], [0.224, 0.683, 0.447], [0.223, 0.683, 0.961], [0.729, 0.686, 0.457], [0.738, 0.683, 0.961], [0.776, 0.317, 0.553], [0.271, 0.314, 0.543], [0.000, 0.500, 0.000], [0.500, 0.500, 0.000], [0.500, 0.500, 0.500], [0.000, 0.500, 0.500]], "e_form_raw_kcal_per_mol_atoms": -19.934, "volume_a3_per_cell": 477.19, "dos_at_fermi_per_ev_atom": 0.1924, "magnetic_moment_mub_per_cell": 0.0, "sg": "No. 12"}


# 3
{"formula": "Hf2TiFeSi", "functional": "PBE", "state": "relaxed", "cell": [[4.946, 0.000, 0.000], [0.000, 4.062, 0.000], [0.000, 0.000, 4.946]], "species": ["Hf", "Hf", "Ti", "Fe", "Si"], "fractional_positions": [[0.000, 0.000, 0.500], [0.500, 0.000, 0.000], [0.000, 0.000, 0.000], [0.000, 0.500, 0.000], [0.500, 0.500, 0.500]], "e_form_raw_kcal_per_mol_atoms": 22.561, "volume_a3_per_cell": 99.36, "dos_at_fermi_per_ev_atom": 1.3039, "magnetic_moment_mub_per_cell": 0.0, "sg": "No. 123"}


# 4
{"formula": "BeSi2Hg", "functional": "PBE", "state": "relaxed", "cell": [[3.636, -0.070, -0.070], [1.873, 3.117, -0.070], [1.922, 1.063, 5.962]], "species": ["Hg", "Si", "Si", "Be"], "fractional_positions": [[0.237, 0.237, 0.280], [0.758, 0.758, 0.729], [0.024, 0.024, 0.936], [0.481, 0.481, 0.555]], "e_form_raw_kcal_per_mol_atoms": 10.281, "volume_a3_per_cell": 68.91, "dos_at_fermi_per_ev_atom": 0.2832, "e_above_lowest_polymorph_mev_per_atom": 11, "magnetic_moment_mub_per_cell": 0.0, "sg": "No. 8"}